Entry 1:
PmSmIrBr, relaxed, DFT GGA-PBE; total magnetic moment = 0.00 Bohr magnetons per cell; space-group type = R3m; ΔE_f (raw) = -1.0810 eV per atom; total energy = -24.3 eV per formula unit; crystal system = trigonal
1.0
4.129 0.000 0.000
-2.065 3.576 0.000
0.000 0.000 23.441
Pm Sm Ir Br
3 3 3 3
Cartesian
0.000 0.000 0.000 Pm
0.000 2.384 15.628 Pm
2.065 1.192 7.814 Pm
0.000 0.000 18.617 Sm
0.000 2.384 10.803 Sm
2.065 1.192 2.989 Sm
0.000 0.000 9.314 Ir
0.000 2.384 1.501 Ir
2.065 1.192 17.128 Ir
0.000 0.000 5.318 Br
0.000 2.384 20.945 Br
2.065 1.192 13.132 Br

---

Entry 2:
Ce2PmTl, relaxed, DFT GGA-PBE; total magnetic moment = 2.41 Bohr magnetons per cell; space-group type = P4/mmm; formation energy = -11 kJ/mol of formula units; total energy = -19.1 eV per formula unit; crystal system = tetragonal
1.0
4.243 0.000 0.000
0.000 4.243 0.000
0.000 0.000 6.835
Ce Pm Tl
2 1 1
Cartesian
0.000 0.000 1.426 Ce
0.000 0.000 5.409 Ce
2.121 2.121 3.418 Pm
2.121 2.121 0.000 Tl

---

Entry 3:
HoBe6Au6, relaxed, DFT GGA-PBE; total magnetic moment = 0.00 Bohr magnetons per cell; space-group type = Immm; formation energy = -363 kJ/mol of formula units; total energy = -50.4 eV per formula unit; crystal system = orthorhombic
1.0
-2.442 4.272 4.391
2.442 -4.272 4.391
2.442 4.272 -4.391
Ho Be Au
1 6 6
Cartesian
0.000 0.000 0.000 Ho
1.221 2.136 -2.195 Be
1.221 -2.136 2.195 Be
2.442 2.046 0.000 Be
-1.221 2.136 2.195 Be
1.221 2.136 2.195 Be
0.000 2.227 4.391 Be
2.442 0.000 1.562 Au
0.000 2.837 0.000 Au
0.000 0.000 3.000 Au
0.000 0.000 5.782 Au
0.000 5.708 0.000 Au
0.000 4.272 2.829 Au

---

Entry 4:
Ti2BiNF, relaxed, DFT GGA-PBE; total magnetic moment = 2.95 Bohr magnetons per cell; space-group type = P4/mmm; ΔE_f (raw) = 1.1822 eV per atom; total energy = -24.0 eV per formula unit; crystal system = tetragonal
1.0
5.379 0.000 0.000
0.000 5.379 0.000
0.000 0.000 4.392
Ti Bi N F
2 1 1 1
Cartesian
0.000 2.690 0.000 Ti
2.690 0.000 0.000 Ti
0.000 0.000 0.000 Bi
2.690 2.690 2.196 N
0.000 0.000 2.196 F

---

Entry 5:
GeTe2AuO8, relaxed, DFT GGA-PBE; total magnetic moment = 0.00 Bohr magnetons per cell; space-group type = C2/m; ΔE_f (raw) = -0.6347 eV per atom; total energy = -61.5 eV per formula unit; crystal system = monoclinic
1.0
5.683 -2.811 0.000
5.683 2.811 0.000
-2.039 0.000 4.734
Ge Te Au O
1 2 1 8
Cartesian
0.000 0.000 0.000 Ge
1.505 0.000 3.647 Te
7.821 0.000 1.087 Te
4.663 0.000 2.367 Au
-0.510 0.000 3.728 O
2.987 1.384 3.497 O
3.342 0.000 0.841 O
6.340 1.384 1.237 O
2.987 -1.384 3.497 O
5.985 0.000 3.893 O
6.340 -1.384 1.237 O
9.837 0.000 1.006 O

---

Entry 6:
Dy6UO12, relaxed, DFT GGA-PBE; total magnetic moment = 0.00 Bohr magnetons per cell; space-group type = R-3; ΔE_f (raw) = -3.5627 eV per atom; total energy = -166.1 eV per formula unit; crystal system = trigonal
1.0
5.002 2.888 3.145
-5.002 2.888 3.145
0.000 -5.776 3.145
Dy U O
6 1 12
Cartesian
-2.678 -2.564 4.961 Dy
-3.560 1.037 4.475 Dy
0.882 -3.602 4.475 Dy
-0.882 3.602 4.961 Dy
3.560 -1.037 4.961 Dy
2.678 2.564 4.475 Dy
0.000 0.000 4.718 U
-1.254 -4.133 4.109 O
-4.207 -0.980 5.327 O
-1.780 -0.296 3.648 O
-2.952 3.153 4.109 O
1.147 -1.394 3.648 O
-0.634 -1.690 5.788 O
0.634 1.690 3.648 O
-1.147 1.394 5.788 O
2.952 -3.153 5.327 O
1.780 0.296 5.788 O
4.207 0.980 4.109 O
1.254 4.133 5.327 O

---

Entry 7:
ZnCd3, relaxed, DFT GGA-PBE; total magnetic moment = 0.00 Bohr magnetons per cell; space-group type = Pmmm; formation energy = 25 kJ/mol of formula units; total energy = -3.8 eV per formula unit; crystal system = orthorhombic
1.0
3.096 0.000 0.000
0.000 4.325 0.000
0.000 0.000 6.258
Zn Cd
1 3
Cartesian
0.000 0.000 0.000 Zn
0.000 0.000 3.129 Cd
1.548 2.163 1.491 Cd
1.548 2.163 4.767 Cd

---

Entry 8:
LaCl, relaxed, DFT GGA-PBE; total magnetic moment = 0.41 Bohr magnetons per cell; space-group type = P6_3/m; ΔE_f (raw) = -1.4321 eV per atom; total energy = -9.6 eV per formula unit; crystal system = hexagonal
1.0
8.314 0.000 0.000
-4.157 7.200 0.000
0.000 0.000 5.828
La Cl
6 6
Cartesian
-2.360 5.207 1.457 La
0.828 2.553 1.457 La
2.625 0.559 4.371 La
1.532 6.641 1.457 La
3.329 4.648 4.371 La
6.518 1.994 4.371 La
-2.115 4.933 4.371 Cl
0.943 2.902 4.371 Cl
2.985 0.635 1.457 Cl
1.173 6.566 4.371 Cl
3.215 4.298 1.457 Cl
6.272 2.267 1.457 Cl

---

Entry 9:
YReIrRh2, relaxed, DFT GGA-PBE; total magnetic moment = 3.85 Bohr magnetons per cell; space-group type = P4/mmm; formation energy = 1005 kJ/mol of formula units; total energy = -32.1 eV per formula unit; crystal system = tetragonal
1.0
4.749 0.000 0.000
0.000 4.749 0.000
0.000 0.000 4.934
Y Re Ir Rh
1 1 1 2
Cartesian
0.000 0.000 0.000 Y
2.375 2.375 2.467 Re
0.000 0.000 2.467 Ir
0.000 2.375 0.000 Rh
2.375 0.000 0.000 Rh

---

Entry 10:
La3CuNi2, relaxed, DFT GGA-PBE; total magnetic moment = 0.00 Bohr magnetons per cell; space-group type = Pnma; formation energy = -145 kJ/mol of formula units; total energy = -31.9 eV per formula unit; crystal system = orthorhombic
1.0
12.506 0.000 0.000
0.000 3.946 0.000
0.000 0.000 11.790
La Cu Ni
12 4 8
Cartesian
0.863 0.986 1.625 La
1.474 2.959 6.868 La
2.514 0.986 9.896 La
3.738 2.959 4.001 La
4.779 0.986 0.973 La
5.390 2.959 7.520 La
7.116 0.986 4.270 La
7.727 2.959 10.817 La
8.767 0.986 7.789 La
9.991 2.959 1.894 La
11.032 0.986 4.922 La
11.643 2.959 10.165 La
1.575 0.986 4.581 Cu
4.678 2.959 10.476 Cu
7.828 0.986 1.314 Cu
10.931 2.959 7.209 Cu
0.263 2.959 3.651 Ni
2.524 2.959 0.157 Ni
3.729 0.986 6.052 Ni
5.990 0.986 9.546 Ni
6.515 2.959 2.244 Ni
8.777 2.959 5.738 Ni
9.982 0.986 11.633 Ni
12.243 0.986 8.139 Ni

---

Entry 11:
CaNd3Cd4, relaxed, DFT GGA-PBE; total magnetic moment = 0.91 Bohr magnetons per cell; space-group type = Pmma; formation energy = -260 kJ/mol of formula units; total energy = -22.7 eV per formula unit; crystal system = orthorhombic
1.0
10.846 0.000 0.000
0.000 7.775 0.000
0.000 0.000 5.423
Ca Nd Cd
2 6 8
Cartesian
0.000 0.000 0.000 Ca
5.423 0.000 0.000 Ca
0.000 3.888 0.000 Nd
2.712 0.000 2.706 Nd
2.712 3.888 2.707 Nd
5.423 3.888 0.000 Nd
8.135 0.000 2.717 Nd
8.135 3.888 2.716 Nd
0.000 1.925 2.712 Cd
0.000 5.850 2.712 Cd
2.712 1.926 5.416 Cd
2.712 5.849 5.416 Cd
5.423 1.925 2.712 Cd
5.423 5.850 2.712 Cd
8.135 1.926 0.007 Cd
8.135 5.849 0.007 Cd

---

Entry 12:
AcOsC2O8, relaxed, DFT GGA-PBE; total magnetic moment = 1.02 Bohr magnetons per cell; space-group type = C2/m; ΔE_f (raw) = -1.4353 eV per atom; total energy = -90.7 eV per formula unit; crystal system = monoclinic
1.0
3.886 -2.637 0.000
3.886 2.637 0.000
-2.985 0.000 5.817
Ac Os C O
1 1 2 8
Cartesian
0.000 0.000 0.000 Ac
2.394 0.000 2.909 Os
-0.148 0.000 3.875 C
4.935 0.000 1.942 C
1.852 1.524 1.551 O
0.273 0.000 2.588 O
2.935 1.524 4.266 O
1.063 0.000 4.572 O
3.724 0.000 1.245 O
1.852 -1.524 1.551 O
4.514 0.000 3.229 O
2.935 -1.524 4.266 O

---

Entry 13:
Cs3H7Os, relaxed, DFT GGA-PBE; total magnetic moment = 0.11 Bohr magnetons per cell; space-group type = Cm; total energy = -40.0 eV per formula unit; crystal system = monoclinic
1.0
4.426 -4.497 0.000
4.426 4.497 0.000
-4.422 0.000 4.867
Cs H Os
3 7 1
Cartesian
0.000 0.000 0.000 Cs
2.306 2.248 2.436 Cs
2.306 -2.248 2.436 Cs
-0.354 1.621 4.867 H
-1.567 0.000 4.864 H
0.130 0.000 3.124 H
5.926 0.962 0.005 H
-0.354 -1.621 4.867 H
4.544 0.000 1.746 H
5.926 -0.962 0.005 H
4.554 0.000 0.002 Os

---

Entry 14:
SmThSc6, relaxed, DFT GGA-PBE; total magnetic moment = 0.00 Bohr magnetons per cell; space-group type = P4/mmm; formation energy = 33 kJ/mol of formula units; total energy = -49.8 eV per formula unit; crystal system = tetragonal
1.0
4.716 0.000 0.000
0.000 4.716 0.000
0.000 0.000 9.511
Sm Th Sc
1 1 6
Cartesian
0.000 0.000 0.000 Sm
0.000 0.000 4.755 Th
0.000 2.358 2.407 Sc
0.000 2.358 7.104 Sc
2.358 0.000 2.407 Sc
2.358 0.000 7.104 Sc
2.358 2.358 0.000 Sc
2.358 2.358 4.755 Sc

---

Entry 15:
InBiOF2, relaxed, DFT GGA-PBE; total magnetic moment = 0.00 Bohr magnetons per cell; space-group type = P4/mmm; ΔE_f (raw) = -1.5481 eV per atom; total energy = -23.1 eV per formula unit; crystal system = tetragonal
1.0
4.696 0.000 0.000
0.000 4.696 0.000
0.000 0.000 4.521
In Bi O F
1 1 1 2
Cartesian
0.000 0.000 0.000 In
2.348 2.348 2.261 Bi
2.348 2.348 0.000 O
0.000 2.348 2.261 F
2.348 0.000 2.261 F

---

Entry 16:
Na2ZnHgP, relaxed, DFT GGA-PBE; total magnetic moment = 0.00 Bohr magnetons per cell; space-group type = P4/mmm; formation energy = -69 kJ/mol of formula units; total energy = -10.3 eV per formula unit; crystal system = tetragonal
1.0
5.527 0.000 0.000
0.000 5.527 0.000
0.000 0.000 4.631
Na Zn Hg P
2 1 1 1
Cartesian
0.000 2.763 0.000 Na
2.763 0.000 0.000 Na
0.000 0.000 2.315 Zn
2.763 2.763 2.315 Hg
0.000 0.000 0.000 P

---

Entry 17:
BiP2BrO, relaxed, DFT GGA-PBE; total magnetic moment = 0.00 Bohr magnetons per cell; space-group type = P4/mmm; ΔE_f (raw) = 0.8521 eV per atom; total energy = -17.1 eV per formula unit; crystal system = tetragonal
1.0
4.938 0.000 0.000
0.000 4.938 0.000
0.000 0.000 4.067
Bi P Br O
1 2 1 1
Cartesian
0.000 0.000 0.000 Bi
0.000 2.469 2.034 P
2.469 0.000 2.034 P
2.469 2.469 2.034 Br
2.469 2.469 0.000 O

---

Entry 18:
LaIrSF, relaxed, DFT GGA-PBE; total magnetic moment = 0.00 Bohr magnetons per cell; space-group type = Pm; ΔE_f (raw) = -1.7250 eV per atom; total energy = -26.7 eV per formula unit; crystal system = monoclinic
1.0
3.643 0.000 0.000
0.000 5.255 0.000
-1.798 0.000 3.947
La Ir S F
1 1 1 1
Cartesian
0.000 0.000 0.000 La
1.830 2.628 0.479 Ir
1.857 2.628 2.753 S
0.024 0.000 2.333 F

---

Entry 19:
PrSmSe2, relaxed, DFT GGA-PBE; total magnetic moment = 0.00 Bohr magnetons per cell; space-group type = C2/m; ΔE_f (raw) = -1.8322 eV per atom; total energy = -23.8 eV per formula unit; crystal system = monoclinic
1.0
7.294 0.000 0.000
0.000 4.230 0.000
-2.455 0.000 6.887
Pr Sm Se
2 2 4
Cartesian
0.000 0.000 0.000 Pr
3.647 2.115 0.000 Pr
-1.227 2.115 3.443 Sm
2.420 0.000 3.443 Sm
-0.017 0.000 5.108 Se
1.209 2.115 1.779 Se
3.630 2.115 5.108 Se
4.856 0.000 1.779 Se

---

Entry 20:
LaAlSiCl, relaxed, DFT GGA-PBE; total magnetic moment = 0.00 Bohr magnetons per cell; space-group type = R-3m; ΔE_f (raw) = -1.0774 eV per atom; total energy = -20.2 eV per formula unit; crystal system = trigonal
1.0
2.124 1.227 13.443
-2.124 1.227 13.443
0.000 -2.453 13.443
La Al Si Cl
2 2 2 2
Cartesian
0.000 0.000 3.402 La
0.000 0.000 36.928 La
0.000 0.000 12.483 Al
0.000 0.000 27.847 Al
0.000 0.000 15.011 Si
0.000 0.000 25.319 Si
0.000 0.000 8.387 Cl
0.000 0.000 31.942 Cl